Entry from the Alexandria database: crystalline KLaPuBr6 at its relaxed geometry (PBE-GGA).

Computed properties:
Total magnetization (μB/atom): 0.667
Formation energy without anion corrections (eV/atom): -1.76
Calculated density (Mg/m³): 4.05
Final energy (eV/cell): -92.43
DOS(E_F) (states/eV/cell): 38.0

Cell lengths 7.6742, 7.6742, 14.4823 Å; angles 90.00, 90.00, 120.00 degrees
Positions (direct):
K1 0.0000 0.0000 0.0000
K2 0.0000 0.0000 0.5000
La1 0.3333 0.6667 0.2500
La2 0.6667 0.3333 0.7500
Pu1 0.3333 0.6667 0.7500
Pu2 0.6667 0.3333 0.2500
Br1 0.0005 0.3619 0.1334
Br2 0.0005 0.6387 0.3666
Br3 0.3613 0.3619 0.3666
Br4 0.3613 0.9995 0.1334
Br5 0.3619 0.0005 0.6334
Br6 0.3619 0.3613 0.8666
Br7 0.6381 0.6387 0.1334
Br8 0.6381 0.9995 0.3666
Br9 0.6387 0.0005 0.8666
Br10 0.6387 0.6381 0.6334
Br11 0.9995 0.3613 0.6334
Br12 0.9995 0.6381 0.8666